Below is an optimized crystal structure of LiAcAlPt2, with properties calculated at the GGA-PBE level.

a = 6.6547 Å, b = 6.6547 Å, c = 6.6547 Å
α = 144.01°, β = 144.01°, γ = 51.82°
Element x y z (fractional)
Li 0.0000 0.0000 0.0000
Ac 0.7500 0.2500 0.5000
Al 0.5000 0.5000 0.0000
Pt 0.1302 0.6302 0.5000
Pt 0.3698 0.8698 0.5000

energy of formation	-981	meV/atom
total magnetic moment	0.000	μB per atom
energy	-26.753	eV/cell
Fermi-level density of states	1.4	states/eV/f.u.